No. 1
Density functional theory data (meta-GGA SCAN) for Ga4Bi2O9 at its PBEsol-relaxed geometry.

Computed properties:
- VASP energy: -305.13 eV per formula unit
- Size of the total moment: 0.00 μB per formula unit
- Density: 7.2 g cm⁻³

Lattice parameters (Å, degrees): 7.8453 8.3695 11.8404 90.00 90.00 90.00
Last column: nearest neighbours and their distance in Å.
Fractional positions:
1 Ga 0.8574 0.6711 0.2500  4 O 1.81-1.87
2 O 0.8851 0.7844 0.8778  2 Ga 1.87-2.03
3 O 0.6342 0.2946 0.1186  2 Ga 1.87-2.00
4 Ga 0.9928 0.0017 0.1288  6 O 1.92-2.03
5 O 0.6528 0.5635 0.9956  2 Ga 2.01, 1 Bi 2.20
6 Bi 0.6706 0.8261 0.5099  4 O 2.17-2.42
7 O 0.6149 0.2844 0.6222  2 Ga 1.87-2.03
8 Ga 0.5072 0.5017 0.1288  6 O 1.92-2.03
9 O 0.8658 0.7946 0.1186  2 Ga 1.87-2.00
10 O 0.6528 0.5635 0.5044  2 Ga 2.01, 1 Bi 2.20
11 O 0.1528 0.9365 0.0044  2 Ga 2.01, 1 Bi 2.20
12 O 0.3658 0.7054 0.6186  2 Ga 1.87-2.00
13 Ga 0.1484 0.3433 0.2500  4 O 1.81-1.87
14 O 0.6424 0.5866 0.2500  3 Ga 1.83-1.92
15 O 0.1149 0.2156 0.1222  2 Ga 1.87-2.03
16 Ga 0.5072 0.5017 0.3712  6 O 1.92-2.03
17 Ga 0.8516 0.6567 0.7500  4 O 1.81-1.87
18 Ga 0.0072 0.9983 0.6288  6 O 1.92-2.03
19 O 0.1424 0.9134 0.7500  3 Ga 1.83-1.92
20 Bi 0.8294 0.3261 0.9901  4 O 2.17-2.42
21 Bi 0.1706 0.6739 0.0099  4 O 2.17-2.42
22 Ga 0.3516 0.8433 0.2500  4 O 1.81-1.87
23 O 0.8748 0.0955 0.7500  3 Ga 1.85-1.95
24 O 0.8472 0.0635 0.9956  2 Ga 2.01, 1 Bi 2.20
25 O 0.3658 0.7054 0.8814  2 Ga 1.87-2.00
26 O 0.1528 0.9365 0.4956  2 Ga 2.01, 1 Bi 2.20
27 O 0.3576 0.4134 0.7500  3 Ga 1.83-1.92
28 O 0.3748 0.4045 0.2500  3 Ga 1.85-1.95
29 O 0.9680 0.4701 0.7500  2 Ga 1.81
30 O 0.3851 0.7156 0.3778  2 Ga 1.87-2.03
31 O 0.1252 0.9045 0.2500  3 Ga 1.85-1.95
32 Ga 0.0072 0.9983 0.8712  6 O 1.92-2.03
33 Ga 0.9928 0.0017 0.3712  6 O 1.92-2.03
34 O 0.5320 0.9701 0.7500  2 Ga 1.81
35 Ga 0.1426 0.3289 0.7500  4 O 1.81-1.87
36 Bi 0.1706 0.6739 0.4901  4 O 2.17-2.42
37 Ga 0.6484 0.1567 0.7500  4 O 1.81-1.87
38 O 0.8658 0.7946 0.3814  2 Ga 1.87-2.00
39 O 0.3472 0.4365 0.0044  2 Ga 2.01, 1 Bi 2.20
40 O 0.1342 0.2054 0.8814  2 Ga 1.87-2.00
41 O 0.6342 0.2946 0.3814  2 Ga 1.87-2.00
42 Bi 0.8294 0.3261 0.5099  4 O 2.17-2.42
43 O 0.1149 0.2156 0.3778  2 Ga 1.87-2.03
44 O 0.6149 0.2844 0.8778  2 Ga 1.87-2.03
45 Bi 0.3294 0.1739 0.4901  4 O 2.17-2.42
46 O 0.8576 0.0866 0.2500  3 Ga 1.83-1.92
47 O 0.4680 0.0299 0.2500  2 Ga 1.81
48 O 0.0320 0.5299 0.2500  2 Ga 1.81
49 Ga 0.4928 0.4983 0.6288  6 O 1.92-2.03
50 Bi 0.6706 0.8261 0.9901  4 O 2.17-2.42
51 O 0.8472 0.0635 0.5044  2 Ga 2.01, 1 Bi 2.20
52 O 0.3472 0.4365 0.4956  2 Ga 2.01, 1 Bi 2.20
53 Ga 0.3574 0.8289 0.7500  4 O 1.81-1.87
54 O 0.6252 0.5955 0.7500  3 Ga 1.85-1.95
55 O 0.3851 0.7156 0.1222  2 Ga 1.87-2.03
56 Ga 0.4928 0.4983 0.8712  6 O 1.92-2.03
57 O 0.1342 0.2054 0.6186  2 Ga 1.87-2.00
58 Ga 0.6426 0.1711 0.2500  4 O 1.81-1.87
59 O 0.8851 0.7844 0.6222  2 Ga 1.87-2.03
60 Bi 0.3294 0.1739 0.0099  4 O 2.17-2.42

***

No. 2
Density functional theory data (meta-GGA SCAN) for CuPtBr2 at its PBEsol-relaxed geometry.

Computed properties:
- ΔE to the lowest computed polymorph: 0.0 meV per atom
- Size of the total moment: 0.00 μB per formula unit
- Density: 8.6 g cm⁻³

Lattice parameters (Å, degrees): 3.4511 3.4511 6.7632 90.00 90.00 90.00
Last column: nearest neighbours and their distance in Å.
Fractional positions:
1 Pt 0.5000 0.5000 0.6833  1 Br 2.44, 4 Cu 2.56
2 Br 0.5000 0.5000 0.3228  1 Pt 2.44
3 Br 0.0000 0.0000 0.9255  1 Cu 2.42
4 Cu 0.0000 0.0000 0.5683  1 Br 2.42, 4 Pt 2.56

***

No. 3
Density functional theory data (meta-GGA SCAN) for CaAlAg2Sn at its PBEsol-relaxed geometry.

Computed properties:
- Energy of formation: 0.00 eV/atom
- Size of the total moment: 0.00 μB per formula unit
- Density: 5.4 g cm⁻³

Lattice parameters (Å, degrees): 4.8409 4.8409 5.2787 90.00 90.00 90.00
Last column: nearest neighbours and their distance in Å.
Fractional positions:
1 Sn 0.0000 0.0000 0.5000  2 Al 2.64
2 Ag 0.0000 0.5000 0.0000  2 Al 2.42
3 Ca 0.5000 0.5000 0.5000  4 Sn 3.42, 8 Ag 3.58
4 Ag 0.5000 0.0000 0.0000  2 Al 2.42
5 Al 0.0000 0.0000 0.0000  4 Ag 2.42, 2 Sn 2.64

***

No. 4
Density functional theory data (meta-GGA SCAN) for ScAgS2N at its PBEsol-relaxed geometry.

Computed properties:
- VASP energy: -74.12 eV per formula unit
- Size of the total moment: 2.87 μB per formula unit
- Density: 3.9 g cm⁻³

Lattice parameters (Å, degrees): 4.0964 4.9041 4.9041 90.00 90.00 90.00
Last column: nearest neighbours and their distance in Å.
Fractional positions:
1 S 0.0000 0.0000 0.5000  2 Sc 2.45
2 N 0.5000 0.0000 0.0000  2 Sc 2.05
3 S 0.0000 0.5000 0.0000  2 Sc 2.45
4 Ag 0.5000 0.5000 0.5000  8 S 3.19, 4 N 3.47
5 Sc 0.0000 0.0000 0.0000  2 N 2.05

***

No. 5
Density functional theory data (meta-GGA SCAN) for Be3Cu2 at its PBEsol-relaxed geometry.

Computed properties:
- Energy of formation: -0.14 eV/atom
- Size of the total moment: 0.00 μB per formula unit
- Density: 5.6 g cm⁻³

Lattice parameters (Å, degrees): 4.3071 4.4179 5.9377 100.18 111.27 60.83
Last column: nearest neighbours and their distance in Å.
Fractional positions:
1 Be 0.7968 0.4009 0.2956  6 Cu 2.25-2.50, 5 Be 2.27-2.41
2 Be 0.9022 0.5991 0.7044  6 Cu 2.25-2.50, 5 Be 2.27-2.41
3 Be 0.0476 0.0000 0.0000  6 Cu 2.22-2.40, 4 Be 2.27-2.41
4 Be 0.4477 0.0991 0.7956  6 Cu 2.25-2.50, 5 Be 2.27-2.41
5 Cu 0.8940 0.0731 0.6076  8 Be 2.22-2.40
6 Be 0.2976 0.5000 0.5000  6 Cu 2.22-2.40, 4 Be 2.27-2.41
7 Cu 0.2171 0.4269 0.1076  8 Be 2.22-2.40
8 Cu 0.5364 0.5731 0.8924  8 Be 2.22-2.40
9 Be 0.7512 0.9009 0.2044  6 Cu 2.25-2.50, 5 Be 2.27-2.41
10 Cu 0.3595 0.9269 0.3924  8 Be 2.22-2.40

***

No. 6
Density functional theory data (meta-GGA SCAN) for InCuTc at its PBEsol-relaxed geometry.

Computed properties:
- Energy of formation: 0.52 eV/atom
- Size of the total moment: 2.40 μB per formula unit
- Density: 9.0 g cm⁻³

Lattice parameters (Å, degrees): 4.1673 4.1673 4.1673 60.00 60.00 60.00
Last column: nearest neighbours and their distance in Å.
Fractional positions:
1 Tc 0.5000 0.5000 0.5000  4 Cu 2.55
2 In 0.0000 0.0000 0.0000  4 Cu 2.55
3 Cu 0.2500 0.2500 0.2500  4 Tc 2.55, 4 In 2.55